# NbGeS2 GGA-PBE relaxed
# crystal system = trigonal
# formation energy (no corrections) = -0.6229 eV per atom
# size of the total moment = 0.00 μB/cell
data_NbGeS2
_symmetry_space_group_name_H-M 'P 1'
_symmetry_Int_Tables_number 1
_symmetry_space_group_name_Hall 'P 1'
_cell_length_a 8.774
_cell_length_b 8.774
_cell_length_c 8.774
_cell_angle_alpha 21.53
_cell_angle_beta 21.53
_cell_angle_gamma 21.53
loop_
_atom_site_label
_atom_site_type_symbol
_atom_site_fract_x
_atom_site_fract_y
_atom_site_fract_z
Nb1 Nb 0.000 0.000 0.000
Ge1 Ge 0.500 0.500 0.500
S1 S 0.396 0.396 0.396
S2 S 0.604 0.604 0.604


# NbGe3S GGA-PBE relaxed
# crystal system = cubic
# formation energy (no corrections) = 0.6912 eV per atom
# size of the total moment = 1.99 μB/cell
data_NbGe3S
_symmetry_space_group_name_H-M 'P 1'
_symmetry_Int_Tables_number 1
_symmetry_space_group_name_Hall 'P 1'
_cell_length_a 5.042
_cell_length_b 5.042
_cell_length_c 5.042
_cell_angle_alpha 90.00
_cell_angle_beta 90.00
_cell_angle_gamma 90.00
loop_
_atom_site_label
_atom_site_type_symbol
_atom_site_fract_x
_atom_site_fract_y
_atom_site_fract_z
Nb1 Nb 0.000 0.000 0.000
Ge1 Ge 0.000 0.000 0.500
Ge2 Ge 0.000 0.500 0.000
Ge3 Ge 0.500 0.000 0.000
S1 S 0.500 0.500 0.500


# Nb4GeS8 GGA-PBE relaxed
# crystal system = trigonal
# formation energy (no corrections) = -0.8965 eV per atom
# size of the total moment = 0.00 μB/cell
data_Nb4GeS8
_symmetry_space_group_name_H-M 'P 1'
_symmetry_Int_Tables_number 1
_symmetry_space_group_name_Hall 'P 1'
_cell_length_a 3.347
_cell_length_b 3.347
_cell_length_c 27.524
_cell_angle_alpha 90.00
_cell_angle_beta 90.00
_cell_angle_gamma 120.00
loop_
_atom_site_label
_atom_site_type_symbol
_atom_site_fract_x
_atom_site_fract_y
_atom_site_fract_z
Nb1 Nb 0.000 0.000 0.000
Nb2 Nb 0.000 0.000 0.234
Nb3 Nb 0.667 0.333 0.475
Nb4 Nb 0.667 0.333 0.712
Ge1 Ge 0.667 0.333 0.852
S1 S 0.000 0.000 0.656
S2 S 0.000 0.000 0.770
S3 S 0.333 0.667 0.056
S4 S 0.333 0.667 0.418
S5 S 0.333 0.667 0.532
S6 S 0.333 0.667 0.942
S7 S 0.667 0.333 0.177
S8 S 0.667 0.333 0.291


# NbGe2S GGA-PBE relaxed
# crystal system = tetragonal
# formation energy (no corrections) = 0.2707 eV per atom
# size of the total moment = 0.00 μB/cell
data_NbGe2S
_symmetry_space_group_name_H-M 'P 1'
_symmetry_Int_Tables_number 1
_symmetry_space_group_name_Hall 'P 1'
_cell_length_a 5.832
_cell_length_b 5.832
_cell_length_c 5.832
_cell_angle_alpha 101.98
_cell_angle_beta 101.98
_cell_angle_gamma 125.79
loop_
_atom_site_label
_atom_site_type_symbol
_atom_site_fract_x
_atom_site_fract_y
_atom_site_fract_z
Nb1 Nb 0.000 0.000 0.000
Nb2 Nb 0.750 0.250 0.500
Ge1 Ge 0.129 0.125 0.504
Ge2 Ge 0.375 0.871 0.996
Ge3 Ge 0.621 0.625 0.496
Ge4 Ge 0.875 0.379 0.004
S1 S 0.250 0.750 0.500
S2 S 0.500 0.500 0.000


# Nb2GeS6 GGA-PBE relaxed
# crystal system = tetragonal
# formation energy (no corrections) = -0.6152 eV per atom
# size of the total moment = 0.00 μB/cell
data_Nb2GeS6
_symmetry_space_group_name_H-M 'P 1'
_symmetry_Int_Tables_number 1
_symmetry_space_group_name_Hall 'P 1'
_cell_length_a 5.917
_cell_length_b 5.917
_cell_length_c 10.620
_cell_angle_alpha 90.00
_cell_angle_beta 90.00
_cell_angle_gamma 90.00
loop_
_atom_site_label
_atom_site_type_symbol
_atom_site_fract_x
_atom_site_fract_y
_atom_site_fract_z
Nb1 Nb 0.000 0.000 0.150
Nb2 Nb 0.000 0.000 0.850
Nb3 Nb 0.500 0.500 0.350
Nb4 Nb 0.500 0.500 0.650
Ge1 Ge 0.000 0.000 0.500
Ge2 Ge 0.500 0.500 0.000
S1 S 0.194 0.194 0.329
S2 S 0.194 0.194 0.671
S3 S 0.210 0.210 0.000
S4 S 0.290 0.710 0.500
S5 S 0.306 0.694 0.171
S6 S 0.306 0.694 0.829
S7 S 0.694 0.306 0.171
S8 S 0.694 0.306 0.829
S9 S 0.710 0.290 0.500
S10 S 0.790 0.790 0.000
S11 S 0.806 0.806 0.329
S12 S 0.806 0.806 0.671


# Nb2GeS GGA-PBE relaxed
# crystal system = tetragonal
# formation energy (no corrections) = 0.2112 eV per atom
# size of the total moment = 0.00 μB/cell
data_Nb2GeS
_symmetry_space_group_name_H-M 'P 1'
_symmetry_Int_Tables_number 1
_symmetry_space_group_name_Hall 'P 1'
_cell_length_a 7.125
_cell_length_b 7.125
_cell_length_c 7.125
_cell_angle_alpha 134.30
_cell_angle_beta 134.30
_cell_angle_gamma 66.62
loop_
_atom_site_label
_atom_site_type_symbol
_atom_site_fract_x
_atom_site_fract_y
_atom_site_fract_z
Nb1 Nb 0.097 0.625 0.972
Nb2 Nb 0.375 0.347 0.472
Nb3 Nb 0.653 0.125 0.028
Nb4 Nb 0.875 0.903 0.528
Ge1 Ge 0.250 0.750 0.500
Ge2 Ge 0.500 0.500 0.000
S1 S 0.000 0.000 0.000
S2 S 0.750 0.250 0.500


# NbGe2S8 GGA-PBE relaxed
# crystal system = monoclinic
# formation energy (no corrections) = -0.1497 eV per atom
# size of the total moment = 0.23 μB/cell
data_NbGe2S8
_symmetry_space_group_name_H-M 'P 1'
_symmetry_Int_Tables_number 1
_symmetry_space_group_name_Hall 'P 1'
_cell_length_a 7.457
_cell_length_b 7.457
_cell_length_c 5.442
_cell_angle_alpha 96.47
_cell_angle_beta 96.47
_cell_angle_gamma 72.46
loop_
_atom_site_label
_atom_site_type_symbol
_atom_site_fract_x
_atom_site_fract_y
_atom_site_fract_z
Nb1 Nb 0.000 0.000 0.000
Ge1 Ge 0.185 0.185 0.587
Ge2 Ge 0.815 0.815 0.413
S1 S 0.135 0.754 0.322
S2 S 0.194 0.194 0.177
S3 S 0.246 0.865 0.678
S4 S 0.343 0.343 0.808
S5 S 0.657 0.657 0.192
S6 S 0.754 0.135 0.322
S7 S 0.806 0.806 0.823
S8 S 0.865 0.246 0.678


# NbGeS2 GGA-PBE relaxed
# crystal system = trigonal
# formation energy (no corrections) = 0.0649 eV per atom
# size of the total moment = 0.00 μB/cell
data_NbGeS2
_symmetry_space_group_name_H-M 'P 1'
_symmetry_Int_Tables_number 1
_symmetry_space_group_name_Hall 'P 1'
_cell_length_a 8.049
_cell_length_b 8.049
_cell_length_c 8.049
_cell_angle_alpha 24.30
_cell_angle_beta 24.30
_cell_angle_gamma 24.30
loop_
_atom_site_label
_atom_site_type_symbol
_atom_site_fract_x
_atom_site_fract_y
_atom_site_fract_z
Nb1 Nb 0.000 0.000 0.000
Ge1 Ge 0.500 0.500 0.500
S1 S 0.102 0.102 0.102
S2 S 0.898 0.898 0.898


# NbGeS3 GGA-PBE relaxed
# crystal system = orthorhombic
# formation energy (no corrections) = -0.6757 eV per atom
# size of the total moment = 0.00 μB/cell
data_NbGeS3
_symmetry_space_group_name_H-M 'P 1'
_symmetry_Int_Tables_number 1
_symmetry_space_group_name_Hall 'P 1'
_cell_length_a 12.730
_cell_length_b 3.438
_cell_length_c 11.058
_cell_angle_alpha 90.00
_cell_angle_beta 90.00
_cell_angle_gamma 90.00
loop_
_atom_site_label
_atom_site_type_symbol
_atom_site_fract_x
_atom_site_fract_y
_atom_site_fract_z
Nb1 Nb 0.038 0.250 0.116
Nb2 Nb 0.462 0.750 0.616
Nb3 Nb 0.538 0.250 0.384
Nb4 Nb 0.962 0.750 0.884
Ge1 Ge 0.124 0.750 0.373
Ge2 Ge 0.376 0.250 0.873
Ge3 Ge 0.624 0.750 0.127
Ge4 Ge 0.876 0.250 0.627
S1 S 0.004 0.750 0.656
S2 S 0.103 0.250 0.908
S3 S 0.176 0.750 0.163
S4 S 0.324 0.250 0.663
S5 S 0.397 0.750 0.408
S6 S 0.496 0.250 0.156
S7 S 0.504 0.750 0.844
S8 S 0.603 0.250 0.592
S9 S 0.676 0.750 0.337
S10 S 0.824 0.250 0.837
S11 S 0.897 0.750 0.092
S12 S 0.996 0.250 0.344


# Nb2GeS GGA-PBE relaxed
# crystal system = cubic
# formation energy (no corrections) = -0.3481 eV per atom
# size of the total moment = 0.00 μB/cell
data_Nb2GeS
_symmetry_space_group_name_H-M 'P 1'
_symmetry_Int_Tables_number 1
_symmetry_space_group_name_Hall 'P 1'
_cell_length_a 4.494
_cell_length_b 4.494
_cell_length_c 4.494
_cell_angle_alpha 60.00
_cell_angle_beta 60.00
_cell_angle_gamma 60.00
loop_
_atom_site_label
_atom_site_type_symbol
_atom_site_fract_x
_atom_site_fract_y
_atom_site_fract_z
Nb1 Nb 0.250 0.250 0.250
Nb2 Nb 0.750 0.750 0.750
Ge1 Ge 0.000 0.000 0.000
S1 S 0.500 0.500 0.500


# Nb4GeS GGA-PBE relaxed
# crystal system = monoclinic
# formation energy (no corrections) = -0.2800 eV per atom
# size of the total moment = 0.00 μB/cell
data_Nb4GeS
_symmetry_space_group_name_H-M 'P 1'
_symmetry_Int_Tables_number 1
_symmetry_space_group_name_Hall 'P 1'
_cell_length_a 6.932
_cell_length_b 6.932
_cell_length_c 6.162
_cell_angle_alpha 110.93
_cell_angle_beta 110.93
_cell_angle_gamma 111.18
loop_
_atom_site_label
_atom_site_type_symbol
_atom_site_fract_x
_atom_site_fract_y
_atom_site_fract_z
Nb1 Nb 0.003 0.607 0.249
Nb2 Nb 0.145 0.241 0.283
Nb3 Nb 0.241 0.145 0.783
Nb4 Nb 0.393 0.997 0.251
Nb5 Nb 0.607 0.003 0.749
Nb6 Nb 0.759 0.855 0.217
Nb7 Nb 0.855 0.759 0.717
Nb8 Nb 0.997 0.393 0.751
Ge1 Ge 0.407 0.593 0.250
Ge2 Ge 0.593 0.407 0.750
S1 S 0.234 0.766 0.750
S2 S 0.766 0.234 0.250


# NbGeS3 GGA-PBE relaxed
# crystal system = cubic
# formation energy (no corrections) = -0.1127 eV per atom
# size of the total moment = 0.00 μB/cell
data_NbGeS3
_symmetry_space_group_name_H-M 'P 1'
_symmetry_Int_Tables_number 1
_symmetry_space_group_name_Hall 'P 1'
_cell_length_a 4.813
_cell_length_b 4.813
_cell_length_c 4.813
_cell_angle_alpha 90.00
_cell_angle_beta 90.00
_cell_angle_gamma 90.00
loop_
_atom_site_label
_atom_site_type_symbol
_atom_site_fract_x
_atom_site_fract_y
_atom_site_fract_z
Nb1 Nb 0.000 0.000 0.000
Ge1 Ge 0.500 0.500 0.500
S1 S 0.000 0.000 0.500
S2 S 0.000 0.500 0.000
S3 S 0.500 0.000 0.000